No. 1
! Hf2ReHg, optimized geometry, DFT GGA-PBE; values from VASP
! - Energy of formation: 0.478 eV/atom
! - Total magnetization: 0.0 μB/f.u.
! - E: -7.687 eV/atom
! - Fermi-level density of states: 4.63 states/eV per cell
! - Mass density: 15.297 g/cm3
&SYSTEM
  ibrav = 0, nat = 4, ntyp = 3
/
ATOMIC_SPECIES
Re 186.21 Re.upf
Hf 178.49 Hf.upf
Hg 200.59 Hg.upf
CELL_PARAMETERS angstrom
-1.1586 2.3981 1.3291
-2.9432 0.2076 0.3926
-0.4545 -3.8723 9.9237
ATOMIC_POSITIONS angstrom
Re 0.0000 0.0000 0.0000
Hf -0.6833 -2.6838 7.5797
Hf -3.8730 1.4172 4.0657
Hg -2.2782 -0.6333 5.8227

***

No. 2
! HfTiReHg, optimized geometry, DFT GGA-PBE; values from VASP
! - Energy of formation: -0.072 eV/atom
! - Total magnetization: 0.0 μB/f.u.
! - E: -7.721 eV/atom
! - Fermi-level density of states: 2.99 states/eV per cell
! - Mass density: 14.116 g/cm3
&SYSTEM
  ibrav = 0, nat = 4, ntyp = 4
/
ATOMIC_SPECIES
Re 186.21 Re.upf
Hf 178.49 Hf.upf
Hg 200.59 Hg.upf
Ti 47.87 Ti.upf
CELL_PARAMETERS angstrom
4.6725 0.0000 0.0000
2.3362 4.0465 0.0000
2.3362 1.3488 3.8150
ATOMIC_POSITIONS angstrom
Re 4.6725 2.6976 1.9075
Hf 7.0087 4.0465 2.8613
Hg 0.0000 0.0000 0.0000
Ti 2.3362 1.3488 0.9538

***

No. 3
! HfZrReHg, optimized geometry, DFT GGA-PBE; values from VASP
! - Energy of formation: -0.266 eV/atom
! - Total magnetization: 0.0 μB/f.u.
! - Energy above the most stable polymorph in this dataset: 0.0000 eV per atom
! - E: -8.078 eV/atom
! - Fermi-level density of states: 2.89 states/eV per cell
! - Mass density: 13.684 g/cm3
&SYSTEM
  ibrav = 0, nat = 4, ntyp = 4
/
ATOMIC_SPECIES
Hf 178.49 Hf.upf
Zr 91.22 Zr.upf
Re 186.21 Re.upf
Hg 200.59 Hg.upf
CELL_PARAMETERS angstrom
-2.3986 -0.3689 2.2701
2.2948 -0.1664 2.3976
-0.3310 7.1606 0.8138
ATOMIC_POSITIONS angstrom
Hf -0.1686 2.2583 2.6209
Zr -0.3134 5.3897 2.9768
Re -0.1873 4.0520 0.4605
Hg -0.0252 0.5444 0.0619

***

No. 4
! HfZrReHg, optimized geometry, DFT GGA-PBE; values from VASP
! - Energy of formation: -0.104 eV/atom
! - Total magnetization: 0.0 μB/f.u.
! - Energy above the most stable polymorph in this dataset: 0.1618 eV per atom
! - E: -7.917 eV/atom
! - Fermi-level density of states: 2.81 states/eV per cell
! - Mass density: 13.968 g/cm3
&SYSTEM
  ibrav = 0, nat = 4, ntyp = 4
/
ATOMIC_SPECIES
Re 186.21 Re.upf
Hf 178.49 Hf.upf
Hg 200.59 Hg.upf
Zr 91.22 Zr.upf
CELL_PARAMETERS angstrom
-1.1270 -4.6186 -0.6390
1.9536 -2.4668 -3.6205
3.2523 -3.4091 0.9000
ATOMIC_POSITIONS angstrom
Re 3.0592 -7.8709 -2.5196
Hf 0.0000 0.0000 0.0000
Hg 1.0197 -2.6236 -0.8399
Zr 2.0395 -5.2472 -1.6797

***

No. 5
! HfHg2Rh2, optimized geometry, DFT GGA-PBE; values from VASP
! - Energy of formation: -0.176 eV/atom
! - Total magnetization: 0.0 μB/f.u.
! - E: -5.228 eV/atom
! - Fermi-level density of states: 6.06 states/eV per cell
! - Mass density: 13.722 g/cm3
&SYSTEM
  ibrav = 0, nat = 10, ntyp = 3
/
ATOMIC_SPECIES
Rh 102.91 Rh.upf
Hf 178.49 Hf.upf
Hg 200.59 Hg.upf
CELL_PARAMETERS angstrom
-5.7234 1.6476 -3.2672
-3.5615 -1.1166 5.6758
0.5091 3.9388 1.0943
ATOMIC_POSITIONS angstrom
Rh -5.1334 -0.3666 3.7076
Rh -7.2038 0.7053 0.8130
Rh -4.1515 0.8975 -1.2990
Rh -2.0811 -0.1743 1.5955
Hf 0.0000 0.0000 0.0000
Hf -4.6424 0.2655 1.2043
Hg -3.0443 1.4979 3.7789
Hg -6.5221 2.1285 3.1271
Hg -5.7314 2.9718 -0.2760
Hg -2.2536 2.3412 0.3758

***

No. 6
! HfHg2Rh, optimized geometry, DFT GGA-PBE; values from VASP
! - Energy of formation: 0.241 eV/atom
! - Total magnetization: 0.0 μB/f.u.
! - Energy above the most stable polymorph in this dataset: 0.3097 eV per atom
! - E: -4.236 eV/atom
! - Fermi-level density of states: 6.39 states/eV per cell
! - Mass density: 13.471 g/cm3
&SYSTEM
  ibrav = 0, nat = 8, ntyp = 3
/
ATOMIC_SPECIES
Rh 102.91 Rh.upf
Hf 178.49 Hf.upf
Hg 200.59 Hg.upf
CELL_PARAMETERS angstrom
-1.9864 -5.6195 5.1190
7.4827 -2.3773 0.2939
3.2126 -2.2811 4.7719
ATOMIC_POSITIONS angstrom
Rh 2.7482 -3.9984 2.7064
Rh 6.7218 -4.3284 3.8861
Hf 0.0000 0.0000 0.0000
Hf 1.9872 -5.9495 6.2987
Hg 0.5400 -4.2581 4.3184
Hg 5.1886 -2.8800 2.1272
Hg 4.6324 -4.7610 5.6151
Hg 7.0570 -8.6566 8.3088